Entry 1:
The following is a PBE calculation of a geometry-optimized ThZnInRh structure, from Alexandria.

Cell and atoms, written as CIF:
```
data_ThZnInRh
_symmetry_space_group_name_H-M 'F -4 3 m'
_symmetry_Int_Tables_number 216
_symmetry_space_group_name_Hall 'F -4 2 3'
_cell_length_a 6.935
_cell_length_b 6.935
_cell_length_c 6.935
_cell_angle_alpha 90.00
_cell_angle_beta 90.00
_cell_angle_gamma 90.00
loop_
_atom_site_label
_atom_site_type_symbol
_atom_site_fract_x
_atom_site_fract_y
_atom_site_fract_z
Th1 Th 0.000 0.000 0.000
Zn1 Zn 0.250 0.250 0.750
In1 In 0.000 0.000 0.500
Rh1 Rh 0.250 0.250 0.250
```

Output
total magnetic moment = 0.00 μB/f.u.
volume = 20.848 Å³ per atom
energy of formation from the pure elements = -454 meV/atom

=====

Entry 2:
The following is a PBE calculation of a geometry-optimized Ti4InRh5 structure, from Alexandria.

Cell and atoms, written as CIF:
```
data_Ti4InRh5
_symmetry_space_group_name_H-M 'P 4/m m m'
_symmetry_Int_Tables_number 123
_symmetry_space_group_name_Hall '-P 4 2'
_cell_length_a 3.106
_cell_length_b 3.106
_cell_length_c 16.057
_cell_angle_alpha 90.00
_cell_angle_beta 90.00
_cell_angle_gamma 90.00
loop_
_atom_site_label
_atom_site_type_symbol
_atom_site_fract_x
_atom_site_fract_y
_atom_site_fract_z
Ti1 Ti 0.000 0.000 0.096
Ti2 Ti 0.000 0.000 0.292
In1 In 0.000 0.000 0.500
Rh1 Rh 0.500 0.500 0.000
Rh2 Rh 0.500 0.500 0.193
Rh3 Rh 0.500 0.500 0.380
```

Output
total magnetic moment = 0.00 μB/f.u.
volume = 15.487 Å³ per atom
energy of formation from the pure elements = -709 meV/atom

=====

Entry 3:
The following is a PBE calculation of a geometry-optimized TiInRh3 structure, from Alexandria.

Cell and atoms, written as CIF:
```
data_TiInRh3
_symmetry_space_group_name_H-M 'P m -3 m'
_symmetry_Int_Tables_number 221
_symmetry_space_group_name_Hall '-P 4 2 3'
_cell_length_a 4.759
_cell_length_b 4.759
_cell_length_c 4.759
_cell_angle_alpha 90.00
_cell_angle_beta 90.00
_cell_angle_gamma 90.00
loop_
_atom_site_label
_atom_site_type_symbol
_atom_site_fract_x
_atom_site_fract_y
_atom_site_fract_z
Ti1 Ti 0.000 0.000 0.000
In1 In 0.500 0.500 0.500
Rh1 Rh 0.000 0.500 0.500
```

Output
total magnetic moment = 0.00 μB/f.u.
volume = 21.555 Å³ per atom
distance to the lowest polymorph of the same formula = 852 meV per atom
energy of formation from the pure elements = 1141 meV/atom

=====

Entry 4:
The following is a PBE calculation of a geometry-optimized TiIn3Rh structure, from Alexandria.

Cell and atoms, written as CIF:
```
data_TiIn3Rh
_symmetry_space_group_name_H-M 'P m -3 m'
_symmetry_Int_Tables_number 221
_symmetry_space_group_name_Hall '-P 4 2 3'
_cell_length_a 5.190
_cell_length_b 5.190
_cell_length_c 5.190
_cell_angle_alpha 90.00
_cell_angle_beta 90.00
_cell_angle_gamma 90.00
loop_
_atom_site_label
_atom_site_type_symbol
_atom_site_fract_x
_atom_site_fract_y
_atom_site_fract_z
Ti1 Ti 0.000 0.000 0.000
In1 In 0.000 0.000 0.500
Rh1 Rh 0.500 0.500 0.500
```

Output
total magnetic moment = 0.57 μB/f.u.
volume = 27.953 Å³ per atom
distance to the lowest polymorph of the same formula = 621 meV per atom
energy of formation from the pure elements = 1015 meV/atom

=====

Entry 5:
The following is a PBE calculation of a geometry-optimized Ti12In3Rh structure, from Alexandria.

Cell and atoms, written as CIF:
```
data_Ti12In3Rh
_symmetry_space_group_name_H-M 'P 4/m m m'
_symmetry_Int_Tables_number 123
_symmetry_space_group_name_Hall '-P 4 2'
_cell_length_a 4.223
_cell_length_b 4.223
_cell_length_c 15.816
_cell_angle_alpha 90.00
_cell_angle_beta 90.00
_cell_angle_gamma 90.00
loop_
_atom_site_label
_atom_site_type_symbol
_atom_site_fract_x
_atom_site_fract_y
_atom_site_fract_z
Ti1 Ti 0.000 0.000 0.000
Ti2 Ti 0.000 0.000 0.238
Ti3 Ti 0.000 0.000 0.500
Ti4 Ti 0.000 0.500 0.108
Ti5 Ti 0.000 0.500 0.371
In1 In 0.500 0.500 0.240
In2 In 0.500 0.500 0.500
Rh1 Rh 0.500 0.500 0.000
```

Output
total magnetic moment = 0.03 μB/f.u.
volume = 17.627 Å³ per atom
energy of formation from the pure elements = -160 meV/atom

=====

Entry 6:
The following is a PBE calculation of a geometry-optimized TiInRh structure, from Alexandria.

Cell and atoms, written as CIF:
```
data_TiInRh
_symmetry_space_group_name_H-M 'C 1 2/m 1'
_symmetry_Int_Tables_number 12
_cell_length_a 5.901
_cell_length_b 5.908
_cell_length_c 6.544
_cell_angle_alpha 90.00
_cell_angle_beta 94.13
_cell_angle_gamma 90.00
loop_
_symmetry_equiv_pos_as_xyz
'x,y,z'
'-x,-y,-z'
'-x,y,-z'
'x,-y,z'
'x+1/2,y+1/2,z'
'-x+1/2,-y+1/2,-z'
'-x+1/2,y+1/2,-z'
'x+1/2,-y+1/2,z'
loop_
_atom_site_label
_atom_site_type_symbol
_atom_site_fract_x
_atom_site_fract_y
_atom_site_fract_z
Ti1 Ti 0.000 0.248 0.000
In1 In 0.232 0.000 0.643
Rh1 Rh 0.240 0.500 0.778
```

Output
total magnetic moment = 0.00 μB/f.u.
volume = 18.964 Å³ per atom
energy of formation from the pure elements = -443 meV/atom

=====

Entry 7:
The following is a PBE calculation of a geometry-optimized Ti3In3Rh2 structure, from Alexandria.

Cell and atoms, written as CIF:
```
data_Ti3In3Rh2
_symmetry_space_group_name_H-M 'P -6 2 m'
_symmetry_Int_Tables_number 189
_symmetry_space_group_name_Hall 'P -6 -2'
_cell_length_a 7.3411
_cell_length_b 7.3411
_cell_length_c 3.0680
_cell_angle_alpha 90.00
_cell_angle_beta 90.00
_cell_angle_gamma 120.00
loop_
_atom_site_label
_atom_site_type_symbol
_atom_site_fract_x
_atom_site_fract_y
_atom_site_fract_z
Ti1 Ti 0.0000 0.4165 0.0000
In1 In 0.0000 0.7625 0.5000
Rh1 Rh 0.3333 0.6667 0.5000
```

Output
total magnetic moment = 0.00 μB/f.u.
volume = 17.898 Å³ per atom
energy of formation from the pure elements = -460 meV/atom

=====

Entry 8:
The following is a PBE calculation of a geometry-optimized TiIn3Rh structure, from Alexandria.

Cell and atoms, written as CIF:
```
data_TiIn3Rh
_symmetry_space_group_name_H-M 'P m -3 m'
_symmetry_Int_Tables_number 221
_symmetry_space_group_name_Hall '-P 4 2 3'
_cell_length_a 5.023
_cell_length_b 5.023
_cell_length_c 5.023
_cell_angle_alpha 90.00
_cell_angle_beta 90.00
_cell_angle_gamma 90.00
loop_
_atom_site_label
_atom_site_type_symbol
_atom_site_fract_x
_atom_site_fract_y
_atom_site_fract_z
Ti1 Ti 0.000 0.000 0.000
In1 In 0.000 0.500 0.500
Rh1 Rh 0.500 0.500 0.500
```

Output
total magnetic moment = 0.02 μB/f.u.
volume = 25.345 Å³ per atom
distance to the lowest polymorph of the same formula = 0 meV per atom
energy of formation from the pure elements = 395 meV/atom

=====

Entry 9:
The following is a PBE calculation of a geometry-optimized Ti3InRh6 structure, from Alexandria.

Cell and atoms, written as CIF:
```
data_Ti3InRh6
_symmetry_space_group_name_H-M 'P 1 21/m 1'
_symmetry_Int_Tables_number 11
_cell_length_a 7.651
_cell_length_b 4.415
_cell_length_c 9.505
_cell_angle_alpha 90.00
_cell_angle_beta 107.97
_cell_angle_gamma 90.00
loop_
_symmetry_equiv_pos_as_xyz
'x,y,z'
'-x,-y,-z'
'-x,y+1/2,-z'
'x,-y+1/2,z'
loop_
_atom_site_label
_atom_site_type_symbol
_atom_site_fract_x
_atom_site_fract_y
_atom_site_fract_z
Ti1 Ti 0.027 0.250 0.385
Ti2 Ti 0.125 0.750 0.195
Ti3 Ti 0.301 0.250 0.988
In1 In 0.448 0.250 0.595
Rh1 Rh 0.050 0.750 0.911
Rh2 Rh 0.145 0.250 0.688
Rh3 Rh 0.230 0.750 0.493
Rh4 Rh 0.320 0.250 0.287
Rh5 Rh 0.362 0.750 0.821
Rh6 Rh 0.408 0.750 0.116
```

Output
total magnetic moment = 0.00 μB/f.u.
volume = 15.270 Å³ per atom
energy of formation from the pure elements = -641 meV/atom

=====

Entry 10:
The following is a PBE calculation of a geometry-optimized Ti2InRh2 structure, from Alexandria.

Cell and atoms, written as CIF:
```
data_Ti2InRh2
_symmetry_space_group_name_H-M 'P 4/m b m'
_symmetry_Int_Tables_number 127
_symmetry_space_group_name_Hall '-P 4 2ab'
_cell_length_a 7.609
_cell_length_b 7.609
_cell_length_c 2.933
_cell_angle_alpha 90.00
_cell_angle_beta 90.00
_cell_angle_gamma 90.00
loop_
_atom_site_label
_atom_site_type_symbol
_atom_site_fract_x
_atom_site_fract_y
_atom_site_fract_z
Ti1 Ti 0.148 0.352 0.000
In1 In 0.000 0.000 0.000
Rh1 Rh 0.139 0.639 0.500
```

Output
total magnetic moment = 0.00 μB/f.u.
volume = 16.980 Å³ per atom
distance to the lowest polymorph of the same formula = 174 meV per atom
energy of formation from the pure elements = -441 meV/atom

=====

Entry 11:
The following is a PBE calculation of a geometry-optimized TiInRh structure, from Alexandria.

Cell and atoms, written as CIF:
```
data_TiInRh
_symmetry_space_group_name_H-M 'P 3 m 1'
_symmetry_Int_Tables_number 156
_cell_length_a 4.4862
_cell_length_b 4.4862
_cell_length_c 2.9455
_cell_angle_alpha 90.00
_cell_angle_beta 90.00
_cell_angle_gamma 120.00
loop_
_symmetry_equiv_pos_as_xyz
'x,y,z'
'-y,x-y,z'
'-x+y,-x,z'
'-y,-x,z'
'-x+y,y,z'
'x,x-y,z'
loop_
_atom_site_label
_atom_site_type_symbol
_atom_site_fract_x
_atom_site_fract_y
_atom_site_fract_z
Ti1 Ti 0.0000 0.0000 0.0000
In1 In 0.6667 0.3333 0.5528
Rh1 Rh 0.3333 0.6667 0.1598
```

Output
total magnetic moment = 0.00 μB/f.u.
volume = 17.113 Å³ per atom
energy of formation from the pure elements = -350 meV/atom

=====

Entry 12:
The following is a PBE calculation of a geometry-optimized TiInRh3 structure, from Alexandria.

Cell and atoms, written as CIF:
```
data_TiInRh3
_symmetry_space_group_name_H-M 'P m -3 m'
_symmetry_Int_Tables_number 221
_symmetry_space_group_name_Hall '-P 4 2 3'
_cell_length_a 4.562
_cell_length_b 4.562
_cell_length_c 4.562
_cell_angle_alpha 90.00
_cell_angle_beta 90.00
_cell_angle_gamma 90.00
loop_
_atom_site_label
_atom_site_type_symbol
_atom_site_fract_x
_atom_site_fract_y
_atom_site_fract_z
Ti1 Ti 0.000 0.000 0.000
In1 In 0.500 0.500 0.500
Rh1 Rh 0.000 0.000 0.500
```

Output
total magnetic moment = 0.00 μB/f.u.
volume = 18.985 Å³ per atom
distance to the lowest polymorph of the same formula = 0 meV per atom
energy of formation from the pure elements = 290 meV/atom

=====

What did the tenth record say?
The following is a PBE calculation of a geometry-optimized Ti2InRh2 structure, from Alexandria.

Cell and atoms, written as CIF:
```
data_Ti2InRh2
_symmetry_space_group_name_H-M 'P 4/m b m'
_symmetry_Int_Tables_number 127
_symmetry_space_group_name_Hall '-P 4 2ab'
_cell_length_a 7.609
_cell_length_b 7.609
_cell_length_c 2.933
_cell_angle_alpha 90.00
_cell_angle_beta 90.00
_cell_angle_gamma 90.00
loop_
_atom_site_label
_atom_site_type_symbol
_atom_site_fract_x
_atom_site_fract_y
_atom_site_fract_z
Ti1 Ti 0.148 0.352 0.000
In1 In 0.000 0.000 0.000
Rh1 Rh 0.139 0.639 0.500
```

Output
total magnetic moment = 0.00 μB/f.u.
volume = 16.980 Å³ per atom
distance to the lowest polymorph of the same formula = 174 meV per atom
energy of formation from the pure elements = -441 meV/atom

=====

- What is the volume in the eighth record?
  25.345 Å³ per atom

=====

- Number 9 is which compound?
  Ti3InRh6

=====

- What is the formula in the eighth record?
  TiIn3Rh